Compound: Mg2Cd4In2Hg3
Source: Alexandria
Functional: GGA-PBE
Structure: relaxed

Cell and atoms, written as POSCAR:
```
Mg2Cd4In2Hg3
1.0
4.676 0.000 0.000
-2.338 4.050 0.000
0.000 0.000 15.025
Mg Cd In Hg
2 4 2 3
Cartesian
0.000 2.700 2.326
2.338 1.350 12.698
0.000 2.700 5.285
0.000 2.700 13.888
2.338 1.350 1.136
2.338 1.350 9.739
0.000 2.700 8.387
2.338 1.350 6.638
0.000 0.000 0.000
0.000 0.000 3.754
0.000 0.000 11.270
```

Properties
Mass density, kg/m³: 7760
Total moment, μB per atom: 0.000
E, eV for the cell shown: -13.0
Energy relative to the elements, meV per atom: 25